Run A
Computed, not measured: an optimized crystal structure of DySi2Os2 at the PBE level of DFT.

Output
Volume: 16.79 Å³ per atom
ρ: 11.85 g/cm³

a = 5.663 Å, b = 5.663 Å, c = 5.663 Å
α = 136.82°, β = 136.82°, γ = 62.71°
Positions (direct):
Si1 0.372 0.372 0.000
Si2 0.628 0.628 0.000
Os1 0.750 0.250 0.500
Os2 0.250 0.750 0.500
Dy1 0.000 0.000 0.000

Run B
Computed, not measured: an optimized crystal structure of DySi2Os2 at the PBE level of DFT.

Output
Volume: 16.71 Å³ per atom
ρ: 11.91 g/cm³

a = 4.083 Å, b = 4.083 Å, c = 5.011 Å
α = 90.00°, β = 90.00°, γ = 90.00°
Positions (direct):
Si1 0.500 0.500 0.235
Si2 0.500 0.500 0.765
Os1 0.500 0.000 0.500
Os2 0.000 0.500 0.500
Dy1 0.000 0.000 0.000

According to the calculations, the structures order from most to least stable as run A, run B.

Run A
Computed, not measured: an optimized crystal structure of Sm2DyOs at the PBE level of DFT.

Output
Volume: 27.85 Å³ per atom
ρ: 9.74 g/cm³

a = 6.423 Å, b = 7.438 Å, c = 9.327 Å
α = 90.00°, β = 90.00°, γ = 90.00°
Positions (direct):
Dy1 0.137 0.958 0.750
Dy2 0.363 0.458 0.750
Dy3 0.637 0.542 0.250
Dy4 0.863 0.042 0.250
Os1 0.537 0.116 0.750
Os2 0.963 0.616 0.750
Os3 0.463 0.884 0.250
Os4 0.037 0.384 0.250
Sm1 0.330 0.175 0.436
Sm2 0.830 0.325 0.564
Sm3 0.670 0.825 0.936
Sm4 0.330 0.175 0.064
Sm5 0.830 0.325 0.936
Sm6 0.170 0.675 0.436
Sm7 0.170 0.675 0.064
Sm8 0.670 0.825 0.564

Run B
Computed, not measured: an optimized crystal structure of Sm2DyOs at the PBE level of DFT.

Output
Volume: 27.80 Å³ per atom
ρ: 9.76 g/cm³

a = 4.053 Å, b = 6.324 Å, c = 9.161 Å
α = 90.00°, β = 90.00°, γ = 108.70°
Positions (direct):
Dy1 0.422 0.844 0.250
Dy2 0.578 0.156 0.750
Sm1 0.857 0.714 0.933
Sm2 0.857 0.714 0.567
Sm3 0.143 0.286 0.433
Sm4 0.143 0.286 0.067
Os1 0.240 0.480 0.750
Os2 0.760 0.520 0.250

Run C
Computed, not measured: an optimized crystal structure of Sm2DyOs at the PBE level of DFT.

Output
Volume: 29.45 Å³ per atom
ρ: 9.21 g/cm³

a = 3.531 Å, b = 3.531 Å, c = 11.103 Å
α = 80.85°, β = 80.85°, γ = 60.00°
Positions (direct):
Sm1 0.106 0.106 0.683
Sm2 0.894 0.894 0.317
Dy1 0.000 0.000 0.000
Os1 0.500 0.500 0.500

According to the calculations, the structures order from most to least stable as run A, run B, run C.

Run A
Computed, not measured: an optimized crystal structure of SmDy2Os at the PBE level of DFT.

Output
Volume: 27.26 Å³ per atom
ρ: 10.14 g/cm³

a = 3.981 Å, b = 6.359 Å, c = 9.070 Å
α = 90.00°, β = 90.00°, γ = 108.24°
Positions (direct):
Dy1 0.354 0.707 0.933
Dy2 0.646 0.293 0.433
Dy3 0.354 0.707 0.567
Dy4 0.646 0.293 0.067
Sm1 0.925 0.850 0.250
Sm2 0.075 0.150 0.750
Os1 0.744 0.487 0.750
Os2 0.256 0.513 0.250

Run B
Computed, not measured: an optimized crystal structure of SmDy2Os at the PBE level of DFT.

Output
Volume: 27.11 Å³ per atom
ρ: 10.19 g/cm³

a = 6.395 Å, b = 7.437 Å, c = 9.119 Å
α = 90.00°, β = 90.00°, γ = 90.00°
Positions (direct):
Dy1 0.334 0.174 0.436
Dy2 0.834 0.326 0.564
Dy3 0.834 0.326 0.936
Dy4 0.166 0.674 0.064
Dy5 0.666 0.826 0.564
Dy6 0.666 0.826 0.936
Dy7 0.334 0.174 0.064
Dy8 0.166 0.674 0.436
Os1 0.954 0.616 0.750
Os2 0.046 0.384 0.250
Os3 0.454 0.884 0.250
Os4 0.546 0.116 0.750
Sm1 0.129 0.960 0.750
Sm2 0.629 0.540 0.250
Sm3 0.871 0.040 0.250
Sm4 0.371 0.460 0.750

Run C
Computed, not measured: an optimized crystal structure of SmDy2Os at the PBE level of DFT.

Output
Volume: 28.43 Å³ per atom
ρ: 9.72 g/cm³

a = 3.464 Å, b = 3.464 Å, c = 11.129 Å
α = 81.05°, β = 81.05°, γ = 60.00°
Positions (direct):
Os1 0.500 0.500 0.500
Dy1 0.894 0.894 0.319
Dy2 0.106 0.106 0.681
Sm1 0.000 0.000 0.000

Run D
Computed, not measured: an optimized crystal structure of SmDy2Os at the PBE level of DFT.

Output
Volume: 27.04 Å³ per atom
ρ: 10.22 g/cm³

a = 3.413 Å, b = 3.413 Å, c = 9.287 Å
α = 90.00°, β = 90.00°, γ = 90.00°
Positions (direct):
Dy1 0.000 0.000 0.822
Dy2 0.000 0.000 0.178
Sm1 0.500 0.500 0.500
Os1 0.500 0.500 0.000

According to the calculations, the structures order from most to least stable as run B, run A, run D, run C.